--- A ---
This record from the Open Quantum Materials Database describes a geometry-optimized YCdInCu structure. The functional is PBE-GGA.

```
data_YCdInCu
_chemical_formula_sum 'Y4 Cd4 In4 Cu4'
_space_group_name_H-M_alt 'F -4 3 m'
_space_group_IT_number 216
_space_group_name_Hall 'F -4 2 3'
_cell_length_a 6.9378
_cell_length_b 6.9378
_cell_length_c 6.9378
_cell_angle_alpha 90.00
_cell_angle_beta 90.00
_cell_angle_gamma 90.00
loop_
_atom_site_label
_atom_site_type_symbol
_atom_site_fract_x
_atom_site_fract_y
_atom_site_fract_z
_atom_site_occupancy
Y1 Y 0.0000 0.0000 0.0000 1
Cd1 Cd 0.2500 0.2500 0.2500 1
In1 In 0.0000 0.0000 0.5000 1
Cu1 Cu 0.2500 0.2500 0.7500 1
```

The value obtained for the magnetization is 0.0 μB per formula unit.

---

--- B ---
This record from the Open Quantum Materials Database describes a geometry-optimized YCdInCu structure. The functional is PBE-GGA.

```
data_YCdInCu
_chemical_formula_sum 'Y4 Cd4 In4 Cu4'
_space_group_name_H-M_alt 'F -4 3 m'
_space_group_IT_number 216
_space_group_name_Hall 'F -4 2 3'
_cell_length_a 6.9059
_cell_length_b 6.9059
_cell_length_c 6.9059
_cell_angle_alpha 90.00
_cell_angle_beta 90.00
_cell_angle_gamma 90.00
loop_
_atom_site_label
_atom_site_type_symbol
_atom_site_fract_x
_atom_site_fract_y
_atom_site_fract_z
_atom_site_occupancy
Y1 Y 0.0000 0.0000 0.0000 1
Cd1 Cd 0.2500 0.2500 0.7500 1
In1 In 0.2500 0.2500 0.2500 1
Cu1 Cu 0.0000 0.0000 0.5000 1
```

The value obtained for the magnetization is 0.0 μB per formula unit.

---

Verdict on stability: B comes out at the bottom.

---

--- A ---
This record from the Open Quantum Materials Database describes a geometry-optimized ZrCdInCu structure. The functional is PBE-GGA.

```
data_ZrCdInCu
_chemical_formula_sum 'Zr4 Cd4 In4 Cu4'
_space_group_name_H-M_alt 'F -4 3 m'
_space_group_IT_number 216
_space_group_name_Hall 'F -4 2 3'
_cell_length_a 6.7494
_cell_length_b 6.7494
_cell_length_c 6.7494
_cell_angle_alpha 90.00
_cell_angle_beta 90.00
_cell_angle_gamma 90.00
loop_
_atom_site_label
_atom_site_type_symbol
_atom_site_fract_x
_atom_site_fract_y
_atom_site_fract_z
_atom_site_occupancy
Zr1 Zr 0.0000 0.0000 0.0000 1
Cd1 Cd 0.2500 0.2500 0.2500 1
In1 In 0.0000 0.0000 0.5000 1
Cu1 Cu 0.2500 0.2500 0.7500 1
```

The value obtained for the magnetization is 0.0 μB per formula unit.

---

--- B ---
This record from the Open Quantum Materials Database describes a geometry-optimized ZrCdInCu structure. The functional is PBE-GGA.

```
data_ZrCdInCu
_chemical_formula_sum 'Zr4 Cd4 In4 Cu4'
_space_group_name_H-M_alt 'F -4 3 m'
_space_group_IT_number 216
_space_group_name_Hall 'F -4 2 3'
_cell_length_a 6.7772
_cell_length_b 6.7772
_cell_length_c 6.7772
_cell_angle_alpha 90.00
_cell_angle_beta 90.00
_cell_angle_gamma 90.00
loop_
_atom_site_label
_atom_site_type_symbol
_atom_site_fract_x
_atom_site_fract_y
_atom_site_fract_z
_atom_site_occupancy
Zr1 Zr 0.0000 0.0000 0.0000 1
Cd1 Cd 0.2500 0.2500 0.7500 1
In1 In 0.2500 0.2500 0.2500 1
Cu1 Cu 0.0000 0.0000 0.5000 1
```

The value obtained for the magnetization is 0.0 μB per formula unit.

---

Verdict on stability: B comes out at the bottom.

---

--- A ---
This record from the Open Quantum Materials Database describes a geometry-optimized LuCdCuS3 structure. The functional is PBE-GGA.

```
data_LuCdCuS3
_chemical_formula_sum 'Lu4 Cd4 Cu4 S12'
_space_group_name_H-M_alt 'C m c m'
_space_group_IT_number 63
_space_group_name_Hall '-C 2c 2'
_cell_length_a 3.7448
_cell_length_b 12.3775
_cell_length_c 10.1637
_cell_angle_alpha 90.00
_cell_angle_beta 90.00
_cell_angle_gamma 90.00
loop_
_atom_site_label
_atom_site_type_symbol
_atom_site_fract_x
_atom_site_fract_y
_atom_site_fract_z
_atom_site_occupancy
Lu1 Lu 0.0000 0.0000 0.0000 1
Cd1 Cd 0.0000 0.2386 0.2500 1
Cu1 Cu 0.0000 0.4783 0.7500 1
S1 S 0.0000 0.0957 0.7500 1
S2 S 0.0000 0.3602 0.5749 1
```

The value obtained for the magnetization is 0.0 μB per formula unit.

---

--- B ---
This record from the Open Quantum Materials Database describes a geometry-optimized LuCdCuS3 structure. The functional is PBE-GGA.

```
data_LuCdCuS3
_chemical_formula_sum 'Lu2 Cd2 Cu2 S6'
_space_group_name_H-M_alt 'P 1 21/m 1'
_space_group_IT_number 11
_cell_length_a 7.3366
_cell_length_b 3.7727
_cell_length_c 8.8566
_cell_angle_alpha 90.00
_cell_angle_beta 101.56
_cell_angle_gamma 90.00
loop_
_space_group_symop_operation_xyz
'x,y,z'
'-x,-y,-z'
'-x,y+1/2,-z'
'x,-y+1/2,z'
loop_
_atom_site_label
_atom_site_type_symbol
_atom_site_fract_x
_atom_site_fract_y
_atom_site_fract_z
_atom_site_occupancy
Lu1 Lu 0.1880 0.2500 0.1706 1
Cd1 Cd 0.2717 0.7500 0.7180 1
Cu1 Cu 0.4068 0.7500 0.4226 1
S1 S 0.0845 0.2500 0.8546 1
S2 S 0.2400 0.2500 0.4772 1
S3 S 0.4355 0.7500 0.1659 1
```

The value obtained for the magnetization is 0.0 μB per formula unit.

---

Verdict on stability: A comes out at the bottom.

---

--- A ---
This record from the Open Quantum Materials Database describes a geometry-optimized LuZnCdCu structure. The functional is PBE-GGA.

```
data_LuZnCdCu
_chemical_formula_sum 'Lu4 Zn4 Cd4 Cu4'
_space_group_name_H-M_alt 'F -4 3 m'
_space_group_IT_number 216
_space_group_name_Hall 'F -4 2 3'
_cell_length_a 6.6363
_cell_length_b 6.6363
_cell_length_c 6.6363
_cell_angle_alpha 90.00
_cell_angle_beta 90.00
_cell_angle_gamma 90.00
loop_
_atom_site_label
_atom_site_type_symbol
_atom_site_fract_x
_atom_site_fract_y
_atom_site_fract_z
_atom_site_occupancy
Lu1 Lu 0.0000 0.0000 0.0000 1
Zn1 Zn 0.0000 0.0000 0.5000 1
Cd1 Cd 0.2500 0.2500 0.2500 1
Cu1 Cu 0.2500 0.2500 0.7500 1
```

The value obtained for the magnetization is 0.0 μB per formula unit.

---

--- B ---
This record from the Open Quantum Materials Database describes a geometry-optimized LuZnCdCu structure. The functional is PBE-GGA.

```
data_LuZnCdCu
_chemical_formula_sum 'Lu4 Zn4 Cd4 Cu4'
_space_group_name_H-M_alt 'F -4 3 m'
_space_group_IT_number 216
_space_group_name_Hall 'F -4 2 3'
_cell_length_a 6.6388
_cell_length_b 6.6388
_cell_length_c 6.6388
_cell_angle_alpha 90.00
_cell_angle_beta 90.00
_cell_angle_gamma 90.00
loop_
_atom_site_label
_atom_site_type_symbol
_atom_site_fract_x
_atom_site_fract_y
_atom_site_fract_z
_atom_site_occupancy
Lu1 Lu 0.0000 0.0000 0.0000 1
Zn1 Zn 0.2500 0.2500 0.2500 1
Cd1 Cd 0.2500 0.2500 0.7500 1
Cu1 Cu 0.0000 0.0000 0.5000 1
```

The value obtained for the magnetization is 0.0 μB per formula unit.

---

Verdict on stability: B comes out at the bottom.

---

--- A ---
This record from the Open Quantum Materials Database describes a geometry-optimized NbCdCuPd structure. The functional is PBE-GGA.

```
data_NbCdCuPd
_chemical_formula_sum 'Nb4 Cd4 Cu4 Pd4'
_space_group_name_H-M_alt 'F -4 3 m'
_space_group_IT_number 216
_space_group_name_Hall 'F -4 2 3'
_cell_length_a 6.3825
_cell_length_b 6.3825
_cell_length_c 6.3825
_cell_angle_alpha 90.00
_cell_angle_beta 90.00
_cell_angle_gamma 90.00
loop_
_atom_site_label
_atom_site_type_symbol
_atom_site_fract_x
_atom_site_fract_y
_atom_site_fract_z
_atom_site_occupancy
Nb1 Nb 0.0000 0.0000 0.0000 1
Cd1 Cd 0.0000 0.0000 0.5000 1
Cu1 Cu 0.2500 0.2500 0.7500 1
Pd1 Pd 0.2500 0.2500 0.2500 1
```

The value obtained for the magnetization is 0.0 μB per formula unit.

---

--- B ---
This record from the Open Quantum Materials Database describes a geometry-optimized NbCdCuPd structure. The functional is PBE-GGA.

```
data_NbCdCuPd
_chemical_formula_sum 'Nb4 Cd4 Cu4 Pd4'
_space_group_name_H-M_alt 'F -4 3 m'
_space_group_IT_number 216
_space_group_name_Hall 'F -4 2 3'
_cell_length_a 6.3956
_cell_length_b 6.3956
_cell_length_c 6.3956
_cell_angle_alpha 90.00
_cell_angle_beta 90.00
_cell_angle_gamma 90.00
loop_
_atom_site_label
_atom_site_type_symbol
_atom_site_fract_x
_atom_site_fract_y
_atom_site_fract_z
_atom_site_occupancy
Nb1 Nb 0.0000 0.0000 0.0000 1
Cd1 Cd 0.2500 0.2500 0.7500 1
Cu1 Cu 0.0000 0.0000 0.5000 1
Pd1 Pd 0.2500 0.2500 0.2500 1
```

The value obtained for the magnetization is 0.0 μB per formula unit.

---

Verdict on stability: B comes out at the bottom.

---

--- A ---
This record from the Open Quantum Materials Database describes a geometry-optimized PaCdCu structure. The functional is PBE-GGA.

```
data_PaCdCu
_chemical_formula_sum 'Pa4 Cd4 Cu4'
_space_group_name_H-M_alt 'F -4 3 m'
_space_group_IT_number 216
_space_group_name_Hall 'F -4 2 3'
_cell_length_a 6.7781
_cell_length_b 6.7781
_cell_length_c 6.7781
_cell_angle_alpha 90.00
_cell_angle_beta 90.00
_cell_angle_gamma 90.00
loop_
_atom_site_label
_atom_site_type_symbol
_atom_site_fract_x
_atom_site_fract_y
_atom_site_fract_z
_atom_site_occupancy
Pa1 Pa 0.0000 0.0000 0.0000 1
Cd1 Cd 0.2500 0.2500 0.7500 1
Cu1 Cu 0.2500 0.2500 0.2500 1
```

The value obtained for the magnetization is 1.1 μB per formula unit.

---

--- B ---
This record from the Open Quantum Materials Database describes a geometry-optimized PaCdCu structure. The functional is PBE-GGA.

```
data_PaCdCu
_chemical_formula_sum 'Pa4 Cd4 Cu4'
_space_group_name_H-M_alt 'F -4 3 m'
_space_group_IT_number 216
_space_group_name_Hall 'F -4 2 3'
_cell_length_a 6.4474
_cell_length_b 6.4474
_cell_length_c 6.4474
_cell_angle_alpha 90.00
_cell_angle_beta 90.00
_cell_angle_gamma 90.00
loop_
_atom_site_label
_atom_site_type_symbol
_atom_site_fract_x
_atom_site_fract_y
_atom_site_fract_z
_atom_site_occupancy
Pa1 Pa 0.0000 0.0000 0.0000 1
Cd1 Cd 0.0000 0.0000 0.5000 1
Cu1 Cu 0.2500 0.2500 0.7500 1
```

The value obtained for the magnetization is 0.0 μB per formula unit.

---

Verdict on stability: A comes out at the bottom.